# PBE-GGA Ba2InSn6, relaxed
data_Ba2InSn6
_symmetry_space_group_name_H-M 'P -3 m 1'
_symmetry_Int_Tables_number 164
_symmetry_space_group_name_Hall '-P 3 2"'
_cell_length_a 7.1577
_cell_length_b 7.1577
_cell_length_c 6.4677
_cell_angle_alpha 90.00
_cell_angle_beta 90.00
_cell_angle_gamma 120.00
loop_
_atom_site_label
_atom_site_type_symbol
_atom_site_fract_x
_atom_site_fract_y
_atom_site_fract_z
Ba1 Ba 0.3333 0.6667 0.1512
In1 In 0.0000 0.0000 0.0000
Sn1 Sn 0.1843 0.3685 0.6582
# * E: -0.2783 Ry per atom
# * calculated formation energy: -0.39 eV/atom
# * Fermi-level density of states: 0.5900 states/eV/atom
# * magnetic moment: 0.00 Bohr magnetons per cell